(1)
{
  "formula": "DyYHg2",
  "functional": "GGA-PBE",
  "state": "optimized geometry",
  "lattice": [[-3.414, 4.067, -3.656], [-3.694, -2.441, 4.687], [1.368, 3.983, 3.153]],
  "species": ["Dy", "Dy", "Hg", "Hg", "Hg", "Hg", "Y", "Y"],
  "frac_coords": [[0.372, 0.628, 0.250], [0.628, 0.372, 0.750], [0.372, 0.131, 0.250], [0.869, 0.628, 0.250], [0.131, 0.372, 0.750], [0.628, 0.869, 0.750], [0.873, 0.127, 0.250], [0.127, 0.873, 0.750]],
  "space_group": "No. 63",
  "formation_enthalpy_0k_mev_per_atom": -497
}

(2)
{
  "formula": "NiBiMoPt",
  "functional": "GGA-PBE",
  "state": "optimized geometry",
  "lattice": [[-2.390, -3.959, -0.244], [0.507, -3.217, 3.293], [-3.441, -0.815, 2.990]],
  "species": ["Bi", "Mo", "Ni", "Pt"],
  "frac_coords": [[0.000, 0.000, 0.000], [0.500, 0.500, 0.500], [0.750, 0.750, 0.750], [0.250, 0.250, 0.250]],
  "space_group": "No. 216",
  "final_energy_ev_per_cell": -24.87
}